! Cs2LiI, relaxed, DFT GGA-PBE; values from VASP
&SYSTEM
  ibrav = 0, nat = 4, ntyp = 3
/
ATOMIC_SPECIES
I 126.90 I.upf
Li 6.94 Li.upf
Cs 132.91 Cs.upf
CELL_PARAMETERS angstrom
4.7507 0.0000 0.0000
0.0000 4.7507 0.0000
0.0000 0.0000 9.9731
ATOMIC_POSITIONS crystal
I 0.5000 0.5000 0.0000
Li 0.5000 0.5000 0.5000
Cs 0.0000 0.0000 0.2248
Cs 0.0000 0.0000 0.7752
! Electronic total energy ... -1.9131 eV/atom
! Uncorrected formation energy ... -0.6203 eV per atom
! Calculated density ... 2.95 g/cm³
! DOS at the Fermi energy ... 1.45 states/eV/f.u.